ErHg5Pd6 | PBE | relaxed

Calculated values
- DFT total energy: -3.453 eV/atom
- Symmetry: C2/m
- V: 18.37 Å³/atom
- Formation energy from the elements: -350.8 meV/atom

a b c (Å): 4.350 7.921 7.921
angles (deg): 111.91 105.99 105.99
Positions (direct):
Hg1 0.500 0.166 0.834
Hg2 0.000 0.334 0.666
Hg3 0.500 0.500 0.500
Hg4 0.000 0.666 0.334
Hg5 0.500 0.834 0.166
Pd1 0.248 0.080 0.415
Pd2 0.752 0.585 0.920
Pd3 0.748 0.249 0.249
Pd4 0.252 0.751 0.751
Pd5 0.248 0.415 0.080
Pd6 0.752 0.920 0.585
Er1 0.000 0.000 0.000